No. 1
Entry from Alexandria via LeMat-Bulk: a relaxed structure of MnCoS2Cl (PBE).

abc: 4.4108 4.4108 4.5284
angles: 90.00 90.00 90.00
Space group P4/mmm (No. 123)
Symmetry-distinct sites (fractional):
Mn 0.0000 0.0000 0.0000 [1 per cell]
Co 0.5000 0.5000 0.5000 [1 per cell]
S 0.0000 0.5000 0.5000 [2 per cell]
Cl 0.5000 0.5000 0.0000 [1 per cell]

total magnetization = 1.18 μB/f.u.
calculated total energy = -4.5170 eV per atom
density of states at the Fermi level = 6.39 states/eV/f.u.
ΔE to the lowest computed polymorph = 0.2212 eV per atom



No. 2
Entry from Alexandria via LeMat-Bulk: a relaxed structure of MnCoSCl2 (PBE).

abc: 4.6633 4.6633 4.9190
angles: 90.00 90.00 90.00
Space group P4/mmm (No. 123)
Symmetry-distinct sites (fractional):
Mn 0.0000 0.0000 0.0000 [1 per cell]
Co 0.5000 0.5000 0.5000 [1 per cell]
S 0.0000 0.0000 0.5000 [1 per cell]
Cl 0.0000 0.5000 0.0000 [2 per cell]

total magnetization = 6.83 μB/f.u.
calculated total energy = -4.6215 eV per atom
density of states at the Fermi level = 5.60 states/eV/f.u.
ΔE to the lowest computed polymorph = 0.1538 eV per atom



No. 3
Entry from Alexandria via LeMat-Bulk: a relaxed structure of MnTl2CoCl (PBE).

abc: 5.8387 5.8387 4.0555
angles: 90.00 90.00 90.00
Space group P4/mmm (No. 123)
Symmetry-distinct sites (fractional):
Mn 0.0000 0.0000 0.0000 [1 per cell]
Tl 0.0000 0.5000 0.5000 [2 per cell]
Co 0.5000 0.5000 0.0000 [1 per cell]
Cl 0.5000 0.5000 0.5000 [1 per cell]

total magnetization = 5.43 μB/f.u.
calculated total energy = -3.8768 eV per atom
density of states at the Fermi level = 3.11 states/eV/f.u.



No. 4
Entry from Alexandria via LeMat-Bulk: a relaxed structure of MnTlCo2Cl8 (PBE).

abc: 6.2946 6.2946 27.7647
angles: 90.00 90.00 120.00
Space group R-3 (No. 148, hexagonal axes)
Symmetry-distinct sites (fractional):
Mn 0.0000 0.0000 0.0000 [3 per cell]
Tl 0.0000 0.0000 0.5000 [3 per cell]
Co 0.0000 0.0000 0.2560 [6 per cell]
Cl 0.0000 0.0000 0.1773 [6 per cell]
Cl 0.0032 0.6767 0.0540 [18 per cell]

total magnetization = 11.64 μB/f.u.
calculated total energy = -4.1047 eV per atom
density of states at the Fermi level = 18.10 states/eV/f.u.



No. 5
Entry from Alexandria via LeMat-Bulk: a relaxed structure of MnVCoCl2 (PBE).

abc: 4.6140 4.6140 4.6488
angles: 90.00 90.00 90.00
Space group P4/mmm (No. 123)
Symmetry-distinct sites (fractional):
Mn 0.0000 0.0000 0.0000 [1 per cell]
V 0.5000 0.5000 0.5000 [1 per cell]
Co 0.5000 0.5000 0.0000 [1 per cell]
Cl 0.0000 0.5000 0.5000 [2 per cell]

total magnetization = 5.77 μB/f.u.
calculated total energy = -5.3014 eV per atom
density of states at the Fermi level = 6.01 states/eV/f.u.



No. 6
Entry from Alexandria via LeMat-Bulk: a relaxed structure of Co4MoCl (PBE).

abc: 6.7582 6.7582 6.7582
angles: 90.00 90.00 90.00
Space group F-43m (No. 216)
Symmetry-distinct sites (fractional):
Co 0.1244 0.1244 0.1244 [16 per cell]
Mo 0.2500 0.2500 0.7500 [4 per cell]
Cl 0.0000 0.0000 0.5000 [4 per cell]

total magnetization = 3.74 μB/f.u.
calculated total energy = -6.1804 eV per atom
density of states at the Fermi level = 10.62 states/eV/f.u.



No. 7
Entry from Alexandria via LeMat-Bulk: a relaxed structure of CoMo3Cl (PBE).

abc: 4.3652 4.3652 4.3652
angles: 90.00 90.00 90.00
Space group Pm-3m (No. 221)
Symmetry-distinct sites (fractional):
Co 0.0000 0.0000 0.0000 [1 per cell]
Mo 0.0000 0.5000 0.5000 [3 per cell]
Cl 0.5000 0.5000 0.5000 [1 per cell]

total magnetization = 2.21 μB/f.u.
calculated total energy = -7.0280 eV per atom
density of states at the Fermi level = 4.93 states/eV/f.u.
ΔE to the lowest computed polymorph = 0.0000 eV per atom



No. 8
Entry from Alexandria via LeMat-Bulk: a relaxed structure of Co2MoCl (PBE).

abc: 7.3413 2.8220 6.5762
angles: 90.00 92.04 90.00
Space group Cm (No. 8)
Symmetry-distinct sites (fractional):
Co 0.0000 0.0000 0.0000 [2 per cell]
Co 0.2237 0.5000 0.1702 [2 per cell]
Mo 0.2605 0.0000 0.8215 [2 per cell]
Cl 0.2267 0.5000 0.5165 [2 per cell]

total magnetization = 2.14 μB/f.u.
calculated total energy = -6.3627 eV per atom
density of states at the Fermi level = 3.77 states/eV/f.u.
ΔE to the lowest computed polymorph = 0.1074 eV per atom



No. 9
Entry from Alexandria via LeMat-Bulk: a relaxed structure of Co2MoCl8 (PBE).

abc: 13.9465 8.0249 5.8425
angles: 90.00 90.87 90.00
Space group C2/m (No. 12)
Symmetry-distinct sites (fractional):
Co 0.1514 0.0000 0.3702 [4 per cell]
Mo 0.0000 0.0000 0.0000 [2 per cell]
Cl 0.0703 0.2208 0.2310 [8 per cell]
Cl 0.1434 0.0000 0.7614 [4 per cell]
Cl 0.1993 0.5000 0.6975 [4 per cell]

total magnetization = 8.00 μB/f.u.
calculated total energy = -4.2362 eV per atom
density of states at the Fermi level = 7.39 states/eV/f.u.



No. 10
Entry from Alexandria via LeMat-Bulk: a relaxed structure of Co2MoCl (PBE).

abc: 4.7876 8.3582 2.7623
angles: 90.00 90.00 90.00
Space group Cmmm (No. 65)
Symmetry-distinct sites (fractional):
Co 0.2500 0.2500 0.0000 [4 per cell]
Mo 0.0000 0.0000 0.5000 [2 per cell]
Cl 0.0000 0.5000 0.5000 [2 per cell]

total magnetization = 3.39 μB/f.u.
calculated total energy = -6.0270 eV per atom
density of states at the Fermi level = 5.50 states/eV/f.u.
ΔE to the lowest computed polymorph = 0.4430 eV per atom



No. 11
Entry from Alexandria via LeMat-Bulk: a relaxed structure of Co2MoCl (PBE).

abc: 2.8026 2.8026 6.9066
angles: 90.00 90.00 90.00
Space group P4/mmm (No. 123)
Symmetry-distinct sites (fractional):
Co 0.0000 0.0000 0.2486 [2 per cell]
Mo 0.5000 0.5000 0.0000 [1 per cell]
Cl 0.5000 0.5000 0.5000 [1 per cell]

total magnetization = 1.79 μB/f.u.
calculated total energy = -6.3477 eV per atom
density of states at the Fermi level = 4.78 states/eV/f.u.
ΔE to the lowest computed polymorph = 0.1224 eV per atom



No. 12
Entry from Alexandria via LeMat-Bulk: a relaxed structure of Co2MoCl (PBE).

abc: 2.8373 2.8373 23.6267
angles: 90.00 90.00 120.00
Space group R-3m (No. 166, hexagonal axes)
Symmetry-distinct sites (fractional):
Co 0.0000 0.0000 0.2472 [6 per cell]
Mo 0.0000 0.0000 0.0000 [3 per cell]
Cl 0.0000 0.0000 0.5000 [3 per cell]

total magnetization = 2.71 μB/f.u.
calculated total energy = -6.3703 eV per atom
density of states at the Fermi level = 4.48 states/eV/f.u.
ΔE to the lowest computed polymorph = 0.0998 eV per atom



No. 13
Entry from Alexandria via LeMat-Bulk: a relaxed structure of CoMoCl (PBE).

abc: 2.9069 2.9069 6.0196
angles: 90.00 90.00 120.00
Space group P3m1 (No. 156)
Symmetry-distinct sites (fractional):
Co 0.0000 0.0000 0.0000 [1 per cell]
Mo 0.6667 0.3333 0.3147 [1 per cell]
Cl 0.3333 0.6667 0.6436 [1 per cell]

total magnetization = 1.03 μB/f.u.
calculated total energy = -6.3277 eV per atom
density of states at the Fermi level = 2.04 states/eV/f.u.
ΔE to the lowest computed polymorph = 0.0000 eV per atom



No. 14
Entry from Alexandria via LeMat-Bulk: a relaxed structure of Co2MoCl (PBE).

abc: 2.8197 3.7478 5.0889
angles: 90.00 105.49 90.00
Space group P2/m (No. 10)
Symmetry-distinct sites (fractional):
Co 0.1324 0.0000 0.2461 [2 per cell]
Mo 0.5000 0.5000 0.0000 [1 per cell]
Cl 0.5000 0.5000 0.5000 [1 per cell]

total magnetization = 0.31 μB/f.u.
calculated total energy = -6.2289 eV per atom
density of states at the Fermi level = 4.09 states/eV/f.u.
ΔE to the lowest computed polymorph = 0.2412 eV per atom



No. 15
Entry from Alexandria via LeMat-Bulk: a relaxed structure of CoMoCl (PBE).

abc: 3.0891 4.9419 12.1759
angles: 90.00 90.00 90.00
Space group Fmm2 (No. 42)
Symmetry-distinct sites (fractional):
Co 0.0000 0.0000 0.0000 [4 per cell]
Mo 0.0000 0.0000 0.3513 [4 per cell]
Cl 0.0000 0.0000 0.6770 [4 per cell]

total magnetization = 1.31 μB/f.u.
calculated total energy = -6.1285 eV per atom
density of states at the Fermi level = 3.50 states/eV/f.u.
ΔE to the lowest computed polymorph = 0.1992 eV per atom



No. 16
Entry from Alexandria via LeMat-Bulk: a relaxed structure of Co2MoCl (PBE).

abc: 6.0027 6.0027 6.0027
angles: 90.00 90.00 90.00
Space group Fm-3m (No. 225)
Symmetry-distinct sites (fractional):
Co 0.2500 0.2500 0.2500 [8 per cell]
Mo 0.0000 0.0000 0.0000 [4 per cell]
Cl 0.0000 0.0000 0.5000 [4 per cell]

total magnetization = 0.76 μB/f.u.
calculated total energy = -5.7322 eV per atom
density of states at the Fermi level = 3.63 states/eV/f.u.
ΔE to the lowest computed polymorph = 0.7379 eV per atom



No. 17
Entry from Alexandria via LeMat-Bulk: a relaxed structure of Co2MoCl (PBE).

abc: 3.7506 3.7506 7.4919
angles: 90.00 90.00 90.00
Space group I4/mmm (No. 139)
Symmetry-distinct sites (fractional):
Co 0.0000 0.5000 0.2500 [4 per cell]
Mo 0.0000 0.0000 0.0000 [2 per cell]
Cl 0.0000 0.0000 0.5000 [2 per cell]

total magnetization = 0.39 μB/f.u.
calculated total energy = -5.8065 eV per atom
density of states at the Fermi level = 6.57 states/eV/f.u.
ΔE to the lowest computed polymorph = 0.6636 eV per atom



No. 18
Entry from Alexandria via LeMat-Bulk: a relaxed structure of CoMo3Cl (PBE).

abc: 4.5294 4.5294 4.5294
angles: 90.00 90.00 90.00
Space group Pm-3m (No. 221)
Symmetry-distinct sites (fractional):
Co 0.0000 0.0000 0.0000 [1 per cell]
Mo 0.0000 0.0000 0.5000 [3 per cell]
Cl 0.5000 0.5000 0.5000 [1 per cell]

total magnetization = 0.00 μB/f.u.
calculated total energy = -6.7394 eV per atom
density of states at the Fermi level = 5.50 states/eV/f.u.
ΔE to the lowest computed polymorph = 0.2886 eV per atom



No. 19
Entry from Alexandria via LeMat-Bulk: a relaxed structure of Co2MoCl (PBE).

abc: 9.0155 2.7967 4.2376
angles: 90.00 93.81 90.00
Space group C2/m (No. 12)
Symmetry-distinct sites (fractional):
Co 0.2232 0.0000 0.2672 [4 per cell]
Mo 0.0000 0.5000 0.5000 [2 per cell]
Cl 0.0000 0.0000 0.0000 [2 per cell]

total magnetization = 1.61 μB/f.u.
calculated total energy = -6.1464 eV per atom
density of states at the Fermi level = 4.53 states/eV/f.u.
ΔE to the lowest computed polymorph = 0.3237 eV per atom



No. 20
Entry from Alexandria via LeMat-Bulk: a relaxed structure of CoMo2Cl8 (PBE).

abc: 11.4081 10.3898 5.6269
angles: 90.00 90.00 90.00
Space group C2/m (No. 12)
Symmetry-distinct sites (fractional):
Co 0.0000 0.0000 0.0000 [2 per cell]
Mo 0.1549 0.0000 0.3097 [4 per cell]
Cl 0.1060 0.2132 0.2563 [8 per cell]
Cl 0.1438 0.0000 0.7273 [4 per cell]
Cl 0.1544 0.5000 0.7805 [4 per cell]

total magnetization = 2.91 μB/f.u.
calculated total energy = -4.4522 eV per atom
density of states at the Fermi level = 5.85 states/eV/f.u.



No. 21
Entry from Alexandria via LeMat-Bulk: a relaxed structure of Co2MoCl (PBE).

abc: 2.8409 2.8409 25.6798
angles: 90.00 90.00 120.00
Space group R3m (No. 160, hexagonal axes)
Symmetry-distinct sites (fractional):
Co 0.0000 0.0000 0.0000 [3 per cell]
Co 0.0000 0.0000 0.2653 [3 per cell]
Mo 0.0000 0.0000 0.5168 [3 per cell]
Cl 0.0000 0.0000 0.7769 [3 per cell]

total magnetization = 3.43 μB/f.u.
calculated total energy = -6.3623 eV per atom
density of states at the Fermi level = 3.93 states/eV/f.u.
ΔE to the lowest computed polymorph = 0.1078 eV per atom



No. 22
Entry from Alexandria via LeMat-Bulk: a relaxed structure of Co2MoCl (PBE).

abc: 2.7569 4.3714 4.3979
angles: 90.00 90.00 90.00
Space group Pmmm (No. 47)
Symmetry-distinct sites (fractional):
Co 0.0000 0.0000 0.0000 [1 per cell]
Co 0.5000 0.5000 0.0000 [1 per cell]
Mo 0.0000 0.5000 0.5000 [1 per cell]
Cl 0.5000 0.0000 0.5000 [1 per cell]

total magnetization = 2.55 μB/f.u.
calculated total energy = -6.0392 eV per atom
density of states at the Fermi level = 5.42 states/eV/f.u.
ΔE to the lowest computed polymorph = 0.4309 eV per atom



No. 23
Entry from Alexandria via LeMat-Bulk: a relaxed structure of Co2MoCl (PBE).

abc: 4.4725 4.4725 2.7256
angles: 90.00 90.00 90.00
Space group P4/mmm (No. 123)
Symmetry-distinct sites (fractional):
Co 0.0000 0.5000 0.0000 [2 per cell]
Mo 0.0000 0.0000 0.5000 [1 per cell]
Cl 0.5000 0.5000 0.5000 [1 per cell]

total magnetization = 1.43 μB/f.u.
calculated total energy = -5.8583 eV per atom
density of states at the Fermi level = 5.70 states/eV/f.u.
ΔE to the lowest computed polymorph = 0.6118 eV per atom



No. 24
Entry from Alexandria via LeMat-Bulk: a relaxed structure of CoMoCl (PBE).

abc: 4.1584 4.1584 2.8271
angles: 90.00 90.00 120.00
Space group P-6m2 (No. 187)
Symmetry-distinct sites (fractional):
Co 0.0000 0.0000 0.0000 [1 per cell]
Mo 0.3333 0.6667 0.5000 [1 per cell]
Cl 0.6667 0.3333 0.5000 [1 per cell]

total magnetization = 1.13 μB/f.u.
calculated total energy = -5.9756 eV per atom
density of states at the Fermi level = 2.80 states/eV/f.u.
ΔE to the lowest computed polymorph = 0.3521 eV per atom



No. 25
Entry from Alexandria via LeMat-Bulk: a relaxed structure of Co3MoCl (PBE).

abc: 4.0985 4.0985 4.0985
angles: 90.00 90.00 90.00
Space group Pm-3m (No. 221)
Symmetry-distinct sites (fractional):
Co 0.0000 0.0000 0.5000 [3 per cell]
Mo 0.5000 0.5000 0.5000 [1 per cell]
Cl 0.0000 0.0000 0.0000 [1 per cell]

total magnetization = 4.44 μB/f.u.
calculated total energy = -5.7443 eV per atom
density of states at the Fermi level = 9.81 states/eV/f.u.
ΔE to the lowest computed polymorph = 0.0000 eV per atom



No. 26
Entry from Alexandria via LeMat-Bulk: a relaxed structure of Co2MoCl (PBE).

abc: 2.7945 4.3582 8.8086
angles: 90.00 90.00 90.00
Space group Imm2 (No. 44)
Symmetry-distinct sites (fractional):
Co 0.0000 0.0000 0.0000 [2 per cell]
Co 0.0000 0.5000 0.2606 [2 per cell]
Mo 0.0000 0.5000 0.7921 [2 per cell]
Cl 0.0000 0.0000 0.5221 [2 per cell]

total magnetization = 2.26 μB/f.u.
calculated total energy = -6.0458 eV per atom
density of states at the Fermi level = 5.32 states/eV/f.u.
ΔE to the lowest computed polymorph = 0.4243 eV per atom



No. 27
Entry from Alexandria via LeMat-Bulk: a relaxed structure of Co2MoCl (PBE).

abc: 2.9357 3.0425 6.9182
angles: 90.00 90.00 90.00
Space group Pmm2 (No. 25)
Symmetry-distinct sites (fractional):
Co 0.0000 0.0000 0.0000 [1 per cell]
Co 0.5000 0.5000 0.1562 [1 per cell]
Mo 0.5000 0.5000 0.7859 [1 per cell]
Cl 0.5000 0.0000 0.5077 [1 per cell]

total magnetization = 3.00 μB/f.u.
calculated total energy = -6.4701 eV per atom
density of states at the Fermi level = 3.65 states/eV/f.u.
ΔE to the lowest computed polymorph = 0.0000 eV per atom



No. 28
Entry from Alexandria via LeMat-Bulk: a relaxed structure of CoMoCl (PBE).

abc: 5.5281 5.5281 5.5281
angles: 90.00 90.00 90.00
Space group F-43m (No. 216)
Symmetry-distinct sites (fractional):
Co 0.0000 0.0000 0.0000 [4 per cell]
Mo 0.0000 0.0000 0.5000 [4 per cell]
Cl 0.2500 0.2500 0.2500 [4 per cell]

total magnetization = 0.00 μB/f.u.
calculated total energy = -5.5686 eV per atom
density of states at the Fermi level = 2.43 states/eV/f.u.
ΔE to the lowest computed polymorph = 0.7591 eV per atom



No. 29
Entry from Alexandria via LeMat-Bulk: a relaxed structure of Co2Mo2Cl (PBE).

abc: 3.3439 3.3439 13.1787
angles: 90.00 90.00 90.00
Space group I4/mmm (No. 139)
Symmetry-distinct sites (fractional):
Co 0.0000 0.5000 0.2500 [4 per cell]
Mo 0.0000 0.0000 0.1163 [4 per cell]
Cl 0.0000 0.0000 0.5000 [2 per cell]

total magnetization = 0.00 μB/f.u.
calculated total energy = -6.9780 eV per atom
density of states at the Fermi level = 4.86 states/eV/f.u.